No. 1
CsRb2HgF6 | PBE-GGA | optimized geometry

Cell: 6.5562 6.5562 6.5562 Å, 122.69 122.69 85.39°
Last column: nearest neighbours and their distance in Å.
Atoms (fractional coordinates):
F 0.1119 0.3217 0.4336  1 Hg 2.14
F 0.3217 0.8881 0.2098  1 Hg 2.14
Rb 0.2500 0.7500 0.5000  4 F 2.75
F 0.8881 0.6783 0.5664  1 Hg 2.14
F 0.6783 0.1119 0.7902  1 Hg 2.14
F 0.2310 0.2310 0.0000  1 Hg 2.23
Cs 0.5000 0.5000 0.0000  6 F 2.59-2.69
Rb 0.7500 0.2500 0.5000  4 F 2.75
Hg 0.0000 0.0000 0.0000  6 F 2.14-2.23
F 0.7690 0.7690 0.0000  1 Hg 2.23

As for the total energy: -3.470 eV/atom.

No. 2
PrReSi | PBE-GGA | optimized geometry

Cell: 4.7531 4.7531 4.7531 Å, 60.00 60.00 60.00°
Last column: nearest neighbours and their distance in Å.
Atoms (fractional coordinates):
Re 0.2500 0.2500 0.2500  4 Pr 2.91
Si 0.7500 0.7500 0.7500  4 Pr 2.91
Pr 0.0000 0.0000 0.0000  4 Si 2.91, 4 Re 2.91

As for the total energy: -6.038 eV/atom.

No. 3
BeNiAsOs | PBE-GGA | optimized geometry

Cell: 4.1478 4.1478 4.1478 Å, 60.00 60.00 60.00°
Last column: nearest neighbours and their distance in Å.
Atoms (fractional coordinates):
Be 0.2500 0.2500 0.2500  4 Os 2.54, 4 As 2.54
Os 0.5000 0.5000 0.5000  4 Ni 2.54, 4 Be 2.54
As 0.0000 0.0000 0.0000  4 Ni 2.54, 4 Be 2.54
Ni 0.7500 0.7500 0.7500  4 As 2.54, 4 Os 2.54

As for the total energy: -5.821 eV/atom.

No. 4
NaPrNO | PBE-GGA | optimized geometry

Cell: 5.0486 5.0486 4.7948 Å, 90.00 90.00 90.00°
Last column: nearest neighbours and their distance in Å.
Atoms (fractional coordinates):
Pr 0.5000 0.5000 0.5000  2 O 2.40, 4 N 2.52
N 0.5000 0.0000 0.5002  2 Na 2.40, 4 Pr 2.52
N 0.0000 0.5000 0.4998  2 Na 2.40, 4 Pr 2.52
Na 0.0000 0.5000 0.9997  2 N 2.40, 4 O 2.52
Pr 0.0000 0.0000 0.5000  2 O 2.40, 4 N 2.52
O 0.0000 0.0000 0.0000  2 Pr 2.40, 4 Na 2.52
O 0.5000 0.5000 0.0000  2 Pr 2.40, 4 Na 2.52
Na 0.5000 0.0000 0.0003  2 N 2.40, 4 O 2.52

The distance to the lowest polymorph of the same formula is 38.4 meV/atom.